Entry 1:
AcTlHg: relaxed, PBE-GGA.

Geometry as POSCAR:
```
AcTlHg
1.0
-0.840 -5.173 2.053
5.239 1.937 -0.689
-0.104 2.554 6.390
Ac Tl Hg
2 2 2
Direct
0.667 0.833 0.750
0.333 0.167 0.250
0.000 0.500 0.000
0.000 0.500 0.500
0.333 0.167 0.750
0.667 0.833 0.250
```

Values from the calculation:
As for the polymorph energy (0 for the lowest one): 0.0000 eV/atom. For the formation enthalpy at 0 K, the calculation gives -41 kJ per mole of atoms. As for the space group: P6_3/mmc (194).

---

Entry 2:
Sr2ZnRhC: relaxed, PBE-GGA.

Geometry as POSCAR:
```
Sr2ZnRhC
1.0
-5.485 -0.012 0.580
-0.166 -5.250 -1.680
0.392 -1.192 3.686
Sr Zn Rh C
2 1 1 1
Direct
0.000 0.500 0.000
0.500 0.000 0.000
0.500 0.500 0.500
0.000 0.000 0.500
0.000 0.000 0.000
```

Values from the calculation:
For the formation enthalpy at 0 K, the calculation gives -10 kJ per mole of atoms. As for the space group: P4/mmm (123).

---

Entry 3:
CrHgSb2Os: relaxed, PBE-GGA.

Geometry as POSCAR:
```
CrHgSb2Os
1.0
5.073 0.000 0.000
0.000 5.073 0.000
0.000 0.000 5.232
Sb Os Hg Cr
2 1 1 1
Direct
0.000 0.500 0.000
0.500 0.000 0.000
0.000 0.000 0.000
0.000 0.000 0.500
0.500 0.500 0.500
```

Values from the calculation:
As for the polymorph energy (0 for the lowest one): 0.0000 eV/atom. As for the space group: P4/mmm (123).

---

Entry 4:
ScCo2Re: relaxed, PBE-GGA.

Geometry as POSCAR:
```
ScCo2Re
1.0
8.582 0.021 0.012
8.123 2.769 0.012
8.123 1.357 2.414
Co Re Sc
2 1 1
Direct
0.997 0.997 0.997
0.503 0.503 0.503
0.250 0.250 0.250
0.750 0.750 0.750
```

Values from the calculation:
As for the polymorph energy (0 for the lowest one): 0.3526 eV/atom. For the formation enthalpy at 0 K, the calculation gives 26 kJ per mole of atoms. As for the space group: R-3m (166).

---

Entry 5:
ReAg2: relaxed, PBE-GGA.

Geometry as POSCAR:
```
ReAg2
1.0
-3.393 5.828 4.453
2.942 -3.932 -6.418
-4.075 -1.777 -0.779
Re Ag
2 4
Direct
0.226 0.774 0.750
0.774 0.226 0.250
0.886 0.114 0.750
0.114 0.886 0.250
0.443 0.557 0.250
0.557 0.443 0.750
```

Values from the calculation:
As for the polymorph energy (0 for the lowest one): 0.0000 eV/atom. For the formation enthalpy at 0 K, the calculation gives 40 kJ per mole of atoms. As for the space group: Cmcm (63).

---

Entry 6:
Ac2PmSn3: relaxed, PBE-GGA.

Geometry as POSCAR:
```
Ac2PmSn3
1.0
-2.375 -2.612 1.259
-1.225 -1.622 -5.677
8.827 -4.140 2.480
Ac Pm Sn
2 1 3
Direct
0.654 0.654 0.307
0.346 0.346 0.693
0.000 0.000 0.000
0.000 0.500 0.000
0.833 0.833 0.666
0.167 0.167 0.334
```

Values from the calculation:
For the formation enthalpy at 0 K, the calculation gives -45 kJ per mole of atoms. As for the space group: Immm (71).

---

Entry 7:
Tm3MgCd: relaxed, PBE-GGA.

Geometry as POSCAR:
```
Tm3MgCd
1.0
4.970 0.000 1.136
0.000 5.098 0.000
0.189 0.000 10.616
Tm Mg Cd
6 2 2
Direct
0.765 0.250 0.119
0.381 0.250 0.887
0.574 0.250 0.501
0.268 0.750 0.113
0.884 0.750 0.881
0.075 0.750 0.499
0.478 0.750 0.692
0.170 0.250 0.308
0.667 0.750 0.315
0.982 0.250 0.685
```

Values from the calculation:
As for the polymorph energy (0 for the lowest one): 0.0000 eV/atom. For the formation enthalpy at 0 K, the calculation gives -13 kJ per mole of atoms. As for the space group: Cmcm (63).

---

Entry 8:
Sr6RhN2: relaxed, PBE-GGA.

Geometry as POSCAR:
```
Sr6RhN2
1.0
-4.688 0.108 -0.437
1.668 -1.293 7.159
0.227 9.542 -0.065
Sr Rh N
6 1 2
Direct
0.903 0.807 0.765
0.806 0.612 0.113
0.194 0.388 0.887
0.634 0.267 0.600
0.366 0.733 0.400
0.097 0.193 0.235
0.000 0.000 0.500
0.750 0.500 0.836
0.250 0.500 0.164
```

Values from the calculation:
As for the energy: -36.94 eV for the cell shown. As for the space group: C2/m (12).

---

Entry 9:
CaCdAg: relaxed, PBE-GGA.

Geometry as POSCAR:
```
CaCdAg
1.0
3.630 0.000 0.000
0.000 4.854 0.000
0.001 0.000 8.601
Ca Cd Ag
2 2 2
Direct
0.312 0.716 0.120
0.312 0.216 0.672
0.812 0.216 0.311
0.812 0.716 0.482
0.812 0.216 0.983
0.811 0.716 0.810
```

Values from the calculation:
For the formation enthalpy at 0 K, the calculation gives -30 kJ per mole of atoms. As for the space group: Pmma (51).

---

Entry 10:
CaSe2Br: relaxed, PBE-GGA.

Geometry as POSCAR:
```
CaSe2Br
1.0
5.544 0.000 0.000
0.000 4.467 -0.025
0.000 1.330 4.842
Ca Se Br
1 2 1
Direct
0.500 0.750 0.750
0.000 0.943 0.879
0.000 0.557 0.621
0.500 0.250 0.250
```

Values from the calculation:
As for the polymorph energy (0 for the lowest one): 0.0000 eV/atom. As for the space group: P2/m (10).